{
  "formula": "Li2ReAgMo",
  "functional": "PBE",
  "state": "relaxed",
  "ef_ev_per_atom": 2.1233,
  "n_ef_per_ev_cell": 7.19,
  "magnetic_moment_mub_per_fu": 1.12,
  "sg": "P4/mmm (123)",
  "lattice_angstrom": [[4.4166, 0.0000, 0.0000], [0.0000, 4.4166, 0.0000], [0.0000, 0.0000, 4.8972]],
  "species": ["Li", "Li", "Re", "Ag", "Mo"],
  "frac_coords": [[0.0000, 0.5000, 0.0000], [0.5000, 0.0000, 0.0000], [0.0000, 0.0000, 0.0000], [0.0000, 0.0000, 0.5000], [0.5000, 0.5000, 0.5000]]
}

---

{
  "formula": "Li2AgMoS",
  "functional": "PBE",
  "state": "relaxed",
  "n_ef_per_ev_cell": 3.35,
  "magnetic_moment_mub_per_fu": 1.93,
  "e_form_raw_kj_per_mol_atoms": 57.6,
  "sg": "P4/mmm (123)",
  "lattice_angstrom": [[5.1891, 0.0000, 0.0000], [0.0000, 5.1891, 0.0000], [0.0000, 0.0000, 4.4346]],
  "species": ["Li", "Li", "Ag", "Mo", "S"],
  "frac_coords": [[0.0000, 0.5000, 0.0000], [0.5000, 0.0000, 0.0000], [0.0000, 0.0000, 0.5000], [0.5000, 0.5000, 0.0000], [0.5000, 0.5000, 0.5000]]
}

---

{
  "formula": "LiV2AgMo",
  "functional": "PBE",
  "state": "relaxed",
  "ef_ev_per_atom": 2.0423,
  "n_ef_per_ev_cell": 10.36,
  "magnetic_moment_mub_per_fu": 3.60,
  "sg": "P4/mmm (123)",
  "lattice_angstrom": [[4.7505, 0.0000, 0.0000], [0.0000, 4.7505, 0.0000], [0.0000, 0.0000, 5.0378]],
  "species": ["Li", "V", "V", "Ag", "Mo"],
  "frac_coords": [[0.0000, 0.0000, 0.0000], [0.0000, 0.5000, 0.5000], [0.5000, 0.0000, 0.5000], [0.5000, 0.5000, 0.5000], [0.5000, 0.5000, 0.0000]]
}